Entry 1:
Material: Ho2H2SCl
Method: DFT, GGA-PBE
State: optimized geometry

a = 3.7143 Å, b = 3.7143 Å, c = 7.9764 Å
α = 90.00°, β = 90.00°, γ = 120.00°
Positions (direct):
S1 0.0000 0.0000 0.5000
Ho1 0.3333 0.6667 0.7154
H1 0.6667 0.3333 0.7545
Cl1 0.0000 0.0000 0.0000
H2 0.3333 0.6667 0.2455
Ho2 0.6667 0.3333 0.2846

Results
total DFT energy (no corrections)	-4.9618	eV/atom

---

Entry 2:
Material: Nd2HgRu
Method: DFT, GGA-PBE
State: optimized geometry

a = 3.5816 Å, b = 3.5816 Å, c = 7.8126 Å
α = 90.00°, β = 90.00°, γ = 90.00°
Positions (direct):
Hg1 0.5000 0.5000 0.5000
Ru1 0.5000 0.5000 0.0000
Nd1 0.0000 0.0000 0.7800
Nd2 0.0000 0.0000 0.2200

Results
E_form	-1.3	eV per formula unit
energy above the lowest structure with this stoichiometry	0	meV per atom

---

Computed values of V (unit: Å³/f.u.) for the preceding records, in sequence: 95.3, 100.2.